Rb2TaBi2S6 (PBE-GGA, optimized geometry); symmetry = C2/m (12); DOS at the Fermi energy = 4.617 states/eV/cell; VASP energy = -5.00 eV per atom
1.0
3.516 -5.963 0.000
3.516 5.963 0.000
-2.449 0.000 7.749
Rb Ta Bi S
2 1 2 6
Direct
0.173 0.827 0.000 Rb
0.827 0.173 0.000 Rb
0.000 0.000 0.500 Ta
0.333 0.667 0.500 Bi
0.667 0.333 0.500 Bi
0.065 0.364 0.685 S
0.230 0.230 0.317 S
0.364 0.065 0.685 S
0.636 0.935 0.315 S
0.770 0.770 0.683 S
0.935 0.636 0.315 S